Computed, not measured: a relaxed LiCaBr3 crystal at the PBE level of DFT.

The structure belongs to space group P2_1/m (No. 11); the cell edges are 7.252, 4.327 and 10.256 Å and the angles 90.00°, 93.82° and 90.00°. The inequivalent atoms are Li at (0.105, 0.250, 0.397), Ca at (0.420, 0.250, 0.823), Br at (0.077, 0.250, 0.651), Br at (0.270, 0.750, 0.979) and Br at (0.430, 0.250, 0.326).

As for the volume: 32.1 A^3/atom. The value obtained for the total magnetization is 0.00 Bohr magnetons per cell. The electronic total energy is -3.62 eV/atom.